[1]
Be2AlW | GGA-PBE | relaxed

Calculated values
* D(E_F): 0.287 states/eV/atom
* energy of formation from the pure elements: 0.5 eV/f.u.
* space-group type: Cmmm (65)

abc: 4.2186 4.2186 2.7524
angles: 90.00 90.00 99.42
Last column: nearest neighbours and their distance in Å.
Atoms (fractional coordinates):
Be 0.0000 0.0000 0.0000  4 W 2.52, 4 Al 2.52, 4 Be 2.73-2.75
Be 0.5000 0.5000 0.0000  4 Al 2.52, 4 W 2.52, 4 Be 2.73-2.75
Al 0.0000 0.5000 0.5000  8 Be 2.52, 2 W 2.73, 2 Al 2.75
W 0.5000 0.0000 0.5000  8 Be 2.52, 2 Al 2.73, 2 W 2.75



[2]
Tb2Co3C2 | GGA-PBE | relaxed

Calculated values
* D(E_F): 0.948 states/eV/atom
* energy of formation from the pure elements: 0.1 eV/f.u.
* space-group type: C2/m (12)

abc: 3.2937 5.0182 6.4690
angles: 114.72 90.00 109.16
Last column: nearest neighbours and their distance in Å.
Atoms (fractional coordinates):
C 0.8427 0.6853 0.7514  3 Co 1.96-2.14
Co 0.6525 0.3049 0.4106  3 C 1.96-2.14
Co 0.5000 0.0000 0.0000  4 C 2.32, 2 Co 2.40
Tb 0.1281 0.2562 0.7761  4 C 2.64-2.94, 5 Co 2.80-2.90
Co 0.3475 0.6951 0.5894  3 C 1.96-2.14
C 0.1573 0.3147 0.2486  3 Co 1.96-2.14
Tb 0.8719 0.7438 0.2239  4 C 2.64-2.94, 5 Co 2.80-2.90



[3]
AlCrCl2 | GGA-PBE | relaxed

Calculated values
* D(E_F): 0.560 states/eV/atom
* formation energy from raw total energies: -239 meV per atom
* space-group type: P2/m (10)

abc: 3.2865 3.4341 10.0523
angles: 63.65 90.00 90.00
Last column: nearest neighbours and their distance in Å.
Atoms (fractional coordinates):
Cl 0.0000 0.2599 0.0757  2 Cr 2.39
Cl 0.0000 0.2401 0.4243  2 Cr 2.39
Cr 0.5000 0.2500 0.2500  4 Cl 2.39
Al 0.5000 0.7500 0.7500  4 Al 3.29-3.43, 4 Cl 3.37



[4]
SrMgIn2Ag5 | GGA-PBE | relaxed

Calculated values
* D(E_F): 0.280 states/eV/atom
* energy of formation from the pure elements: 0.3 eV/f.u.
* space-group type: P4/mmm (123)

abc: 5.1696 5.1696 8.2614
angles: 90.00 90.00 90.00
Last column: nearest neighbours and their distance in Å.
Atoms (fractional coordinates):
Ag 0.0000 0.5000 0.7268  2 In 2.74
Ag 0.0000 0.5000 0.2732  2 In 2.74
Ag 0.5000 0.0000 0.7268  2 In 2.74
Ag 0.5000 0.0000 0.2732  2 In 2.74
Sr 0.0000 0.0000 0.5000  8 Ag 3.19
In 0.5000 0.5000 0.8358  1 In 2.71, 5 Ag 2.74-2.77
Ag 0.5000 0.5000 0.5000  2 In 2.77
Mg 0.0000 0.0000 0.0000  8 Ag 3.43
In 0.5000 0.5000 0.1642  1 In 2.71, 5 Ag 2.74-2.77



[5]
PuSbPt | GGA-PBE | relaxed

Calculated values
* D(E_F): 4.486 states/eV/atom
* formation energy from raw total energies: -725 meV per atom
* space-group type: P3m1 (156)

abc: 3.9881 4.5387 4.5387
angles: 120.00 90.00 90.00
Last column: nearest neighbours and their distance in Å.
Atoms (fractional coordinates):
Pt 0.1154 0.0000 0.0000  3 Sb 2.64
Sb 0.2048 0.3333 0.6667  3 Pt 2.64
Pu 0.6798 0.6667 0.3333  6 Pt 3.14-3.45, 6 Sb 3.23-3.35



[6]
Cs3MgCl5 | GGA-PBE | relaxed

Calculated values
* D(E_F): 0.000 states/eV/atom
* formation energy from raw total energies: -1967 meV per atom
* space-group type: I4/mcm (140)

abc: 9.4305 9.4305 10.0773
angles: 117.90 117.90 90.00
Last column: nearest neighbours and their distance in Å.
Atoms (fractional coordinates):
Cl 0.5163 0.2956 0.3120  1 Mg 2.34
Cl 0.4837 0.7044 0.6880  1 Mg 2.34
Cl 0.7956 0.0163 0.3120  1 Mg 2.34
Cs 0.6684 0.1684 0.0000  8 Cl 3.48-3.75
Cl 0.0163 0.5163 0.3120  1 Mg 2.34
Cl 0.5000 0.5000 0.0000  6 Cs 3.51-3.78
Cl 0.9837 0.4837 0.6880  1 Mg 2.34
Mg 0.2500 0.7500 0.5000  4 Cl 2.34
Cl 0.0000 0.0000 0.0000  6 Cs 3.51-3.78
Cl 0.7044 0.2044 0.6880  1 Mg 2.34
Cs 0.2500 0.2500 0.5000  10 Cl 3.78-3.91
Mg 0.7500 0.2500 0.5000  4 Cl 2.34
Cl 0.2044 0.9837 0.6880  1 Mg 2.34
Cs 0.8316 0.6684 0.0000  8 Cl 3.48-3.75
Cs 0.7500 0.7500 0.5000  10 Cl 3.78-3.91
Cs 0.3316 0.8316 0.0000  8 Cl 3.48-3.75
Cl 0.2956 0.7956 0.3120  1 Mg 2.34
Cs 0.1684 0.3316 0.0000  8 Cl 3.48-3.75



[7]
Sc2BeSi | GGA-PBE | relaxed

Calculated values
* D(E_F): 0.630 states/eV/atom
* formation energy from raw total energies: -73 meV per atom
* space-group type: C2/m (12)

abc: 4.2679 4.2679 6.0330
angles: 79.97 79.97 43.31
Last column: nearest neighbours and their distance in Å.
Atoms (fractional coordinates):
Be 0.2500 0.2500 0.2500  6 Sc 2.67-2.74
Sc 0.0007 0.0007 0.0068  3 Be 2.67-2.74, 3 Si 2.74-2.76
Si 0.7500 0.7500 0.7500  6 Sc 2.74-2.76
Sc 0.4993 0.4993 0.4932  3 Be 2.67-2.74, 3 Si 2.74-2.76



[8]
TlIr2Pd | GGA-PBE | relaxed

Calculated values
* D(E_F): 1.880 states/eV/atom
* energy of formation from the pure elements: 2.1 eV/f.u.
* space-group type: Fm-3m (225)

abc: 4.5480 4.5480 4.5480
angles: 60.00 60.00 60.00
Last column: nearest neighbours and their distance in Å.
Atoms (fractional coordinates):
Pd 0.0000 0.0000 0.0000  8 Ir 2.79
Tl 0.5000 0.5000 0.5000  8 Ir 2.79
Ir 0.7500 0.7500 0.7500  4 Pd 2.79, 4 Tl 2.79
Ir 0.2500 0.2500 0.2500  4 Tl 2.79, 4 Pd 2.79



[9]
Ca2AsRu | GGA-PBE | relaxed

Calculated values
* D(E_F): 0.693 states/eV/atom
* energy of formation from the pure elements: -1.2 eV/f.u.
* space-group type: P4mm (99)

abc: 3.3263 3.3263 8.5398
angles: 90.00 90.00 90.00
Last column: nearest neighbours and their distance in Å.
Atoms (fractional coordinates):
Ca 0.5000 0.5000 0.3197  4 Ru 3.15, 1 As 3.15, 4 Ca 3.33
Ru 0.0000 0.0000 0.5648  4 As 2.58
As 0.5000 0.5000 0.6887  4 Ru 2.58
Ca 0.0000 0.0000 0.9267  1 Ru 3.09, 4 As 3.11, 4 Ca 3.33



[10]
Ge2Bi2Cl | GGA-PBE | relaxed

Calculated values
* D(E_F): 0.254 states/eV/atom
* formation energy from raw total energies: -87 meV per atom
* space-group type: I4/mmm (139)

abc: 4.4076 4.4076 8.0375
angles: 74.09 74.09 90.00
Last column: nearest neighbours and their distance in Å.
Atoms (fractional coordinates):
Bi 0.6229 0.6229 0.7543  4 Ge 2.90
Ge 0.7500 0.2500 0.5000  4 Bi 2.90, 4 Ge 3.12
Cl 0.0000 0.0000 0.0000  8 Bi 3.61
Ge 0.2500 0.7500 0.5000  4 Bi 2.90, 4 Ge 3.12
Bi 0.3771 0.3771 0.2457  4 Ge 2.90



[11]
RbLiCuAs | GGA-PBE | relaxed

Calculated values
* D(E_F): 0.103 states/eV/atom
* energy of formation from the pure elements: -1.5 eV/f.u.
* space-group type: Cm (8)

abc: 4.3268 4.3265 6.5706
angles: 109.15 90.00 120.00
Last column: nearest neighbours and their distance in Å.
Atoms (fractional coordinates):
Li 0.7999 0.5998 0.0425  3 As 2.54, 3 Cu 2.56
Cu 0.4369 0.8738 0.9526  3 As 2.50, 3 Li 2.56
As 0.1073 0.2146 0.9641  3 Cu 2.50, 3 Li 2.54
Rb 0.6222 0.2444 0.5082  1 Li 3.25, 1 Cu 3.38



[12]
ZrZnCo | GGA-PBE | relaxed

Calculated values
* D(E_F): 0.610 states/eV/atom
* energy of formation from the pure elements: -1.1 eV/f.u.
* space-group type: Cmcm (63)

abc: 4.0437 4.9283 5.1387
angles: 90.00 90.00 114.22
Last column: nearest neighbours and their distance in Å.
Atoms (fractional coordinates):
Co 0.0982 0.1963 0.2500  4 Zn 2.55, 5 Zr 2.67-2.75
Zr 0.7930 0.5859 0.2500  5 Co 2.67-2.75, 2 Zn 2.93
Co 0.9018 0.8037 0.7500  4 Zn 2.55, 5 Zr 2.67-2.75
Zr 0.2070 0.4141 0.7500  5 Co 2.67-2.75, 2 Zn 2.93
Zn 0.5000 0.0000 0.5000  4 Co 2.55, 2 Zn 2.57
Zn 0.5000 0.0000 0.0000  4 Co 2.55, 2 Zn 2.57



[13]
ZnCdBi | GGA-PBE | relaxed

Calculated values
* D(E_F): 0.389 states/eV/atom
* energy of formation from the pure elements: 0.4 eV/f.u.
* space-group type: P3m1 (156)

abc: 4.2869 4.5497 4.5497
angles: 120.00 90.00 90.00
Last column: nearest neighbours and their distance in Å.
Atoms (fractional coordinates):
Cd 0.2730 0.3333 0.6667  3 Zn 2.87
Zn 0.0052 0.0000 0.0000  3 Cd 2.87, 3 Bi 2.89
Bi 0.7218 0.6667 0.3333  3 Zn 2.89